Material: VCdF3
Method: DFT, GGA+U
State: optimized geometry

a b c (Å): 4.424 4.424 4.424
angles (deg): 90.00 90.00 90.00
Positions (direct):
V 0.000 0.000 0.000
Cd 0.500 0.500 0.500
F 0.000 0.500 0.500
F 0.500 0.000 0.500
F 0.500 0.500 0.000

## Properties
Energy   -4.04 eV per atom
V   87 Å³ per cell
Space group   No. 221
Magnetic moment   0.76 μB/atom